VASP calculation (PBE) on a relaxed structure of SrFeBr.

## Properties
* volume: 93.4 Å³/cell
* total DFT energy (no corrections): -3.58 eV per atom
* density of states at the Fermi level: 1.2264 states/eV per atom

Lattice parameters (Å, degrees): 5.092 5.092 5.092 60.00 60.00 60.00
Fractional coordinates of all 3 atoms:
Fe (0.250, 0.250, 0.250)
Sr (0.000, 0.000, 0.000)
Br (0.500, 0.500, 0.500)